K2NaCrF6: optimized geometry, GGA+U.

The structure in POSCAR format:
```
K2NaCrF6
1.0
-1.7673 -3.7589 4.2832
-2.6191 -3.4268 -4.0880
7.1412 -4.3818 -0.9020
K Na Cr F
4 2 2 12
Direct
0.0006 0.9917 0.2498
0.5006 0.5083 0.7498
0.9994 0.0083 0.7502
0.4994 0.4917 0.2502
0.5000 0.0000 0.0000
0.0000 0.5000 0.5000
0.5000 0.0000 0.5000
0.0000 0.5000 0.0000
0.2473 0.7132 0.0172
0.7473 0.7868 0.5172
0.7527 0.2868 0.9828
0.2527 0.2132 0.4828
0.2882 0.7511 0.4833
0.7882 0.7489 0.9833
0.7118 0.2489 0.5167
0.2118 0.2511 0.0167
0.9664 0.5024 0.2304
0.4664 0.9976 0.7304
0.0336 0.4976 0.7696
0.5336 0.0024 0.2696
```

Summary:
Raw total energy ... -102.0 eV for the cell shown
Crystal system ... monoclinic
Theoretical density ... 2.97 Mg/m³
Calculated volume ... 298.8 Å³/cell
Magnetization ... 6.0 Bohr magnetons per cell